Entry 1:
Here is an optimized crystal structure of BeAgSb2 from Alexandria. Energies are from GGA-PBE.

volume	84	Å³/cell
formation energy from raw total energies	0.50	eV per atom

Cell: 5.181 5.181 3.170 Å, 90.00 90.00 98.00°
Sites, in units of the cell vectors:
Sb: 0.000 0.000 0.000
Sb: 0.500 0.500 0.000
Ag: 0.500 0.000 0.500
Be: 0.000 0.500 0.500

---

Entry 2:
Here is an optimized crystal structure of LiScPaW from Alexandria. Energies are from GGA-PBE.

volume	79	Å³/cell
ΔH_f (0 K)	205.6	meV per atom

Cell: 4.807 4.807 4.807 Å, 60.00 60.00 60.00°
Sites, in units of the cell vectors:
Sc: 0.250 0.250 0.250
Pa: 0.750 0.750 0.750
W: 0.500 0.500 0.500
Li: 0.000 0.000 0.000

---

Entry 3:
Here is an optimized crystal structure of Na3TaSi from Alexandria. Energies are from GGA-PBE.

volume	157	Å³/cell
relative energy among the computed polymorphs	0.0	meV/atom
formation energy from raw total energies	1.47	eV per atom

Cell: 5.398 5.398 5.398 Å, 90.00 90.00 90.00°
Sites, in units of the cell vectors:
Na: 0.000 0.500 0.000
Na: 0.000 0.000 0.500
Na: 0.500 0.000 0.000
Si: 0.000 0.000 0.000
Ta: 0.500 0.500 0.500

---

Number 1: total moment 0.00 μB per cell, total DFT energy (no corrections) -3.210 eV per atom. Number 2: total moment 0.00 μB per cell, total DFT energy (no corrections) -7.468 eV per atom. Number 3: total moment 2.97 μB per cell, total DFT energy (no corrections) -2.772 eV per atom.